Entry from the Alexandria database: crystalline ScTc6 at its relaxed geometry (PBE).

a = 5.8399 Å, b = 5.8399 Å, c = 5.8399 Å
α = 109.47°, β = 109.47°, γ = 109.47°
Atoms (fractional coordinates):
Sc  0.0000  0.0000  0.0000
Tc  0.2500  0.7500  0.5000
Tc  0.5000  0.7500  0.2500
Tc  0.2500  0.5000  0.7500
Tc  0.7500  0.2500  0.5000
Tc  0.5000  0.2500  0.7500
Tc  0.7500  0.5000  0.2500

The calculation puts the theoretical density at 6.9 g cm⁻³. The energy above the most stable polymorph in this dataset comes out at 1071 meV per atom. As for the formation energy: 1066 meV/atom. For the energy, the calculation gives -8.723 eV per atom. Its space group is No. 229.